The following is a DFT calculation (SCAN) of a PBEsol-optimized structure of AsCF3.

For the total energy, the calculation gives -40.8 eV/cell.

It has space group Pm-3m (No. 221), with a = 4.1068 Å, b = 4.1068 Å, c = 4.1068 Å, α = 90.00°, β = 90.00° and γ = 90.00°. The inequivalent atoms are As at (0.0000, 0.0000, 0.0000), C at (0.5000, 0.5000, 0.5000) and F at (0.0000, 0.0000, 0.5000).